# SrWO2, relaxed, DFT PBE+U
data_SrWO2
_space_group_name_H-M_alt 'P 1'
_space_group_IT_number 1
_cell_length_a 6.843
_cell_length_b 6.843
_cell_length_c 6.843
_cell_angle_alpha 29.26
_cell_angle_beta 29.26
_cell_angle_gamma 29.26
loop_
_space_group_symop_operation_xyz
'x,y,z'
loop_
_atom_site_label
_atom_site_fract_x
_atom_site_fract_y
_atom_site_fract_z
Sr1 0.000 0.000 0.000
W1 0.500 0.500 0.500
O1 0.403 0.403 0.403
O2 0.597 0.597 0.597
# Size of the total moment = 0.0 μB/cell
# Space-group type = R-3m
# Total energy = -25.2 eV for the cell shown
# Relative energy among the computed polymorphs = 222 meV/atom